Zr2P (SCAN, PBEsol geometry); ΔE_f = -0.569 eV per atom; calculated volume = 58.9 Å³/f.u.; energy = -24.5008 eV per atom
1.0
3.194 0.000 0.000
0.000 3.194 0.000
-1.597 -1.597 11.552
Zr P
4 2
direct
0.815 0.315 0.629
0.565 0.565 0.129
0.685 0.185 0.371
0.435 0.435 0.871
0.250 0.750 0.500
0.000 0.000 0.000